Entry 1:
Entry from the Alexandria database: Tl2GeS4 after structural relaxation (GGA-PBE).

* E_form (uncorrected): -0.26 eV per atom
* E: -27.65 eV per cell

Cell: 6.8753 6.9889 6.8416 Å, 122.23 121.58 87.59°
Positions (direct):
Tl1 0.2333 0.7335 0.4658
Tl2 0.7507 0.2508 0.5021
S1 0.8684 0.2832 0.2153
S2 0.7255 0.6714 0.8016
S3 0.0749 0.1301 0.8014
S4 0.3458 0.9296 0.2109
Ge1 0.0014 0.0014 0.0030



Entry 2:
Entry from the Alexandria database: NaCdSN2 after structural relaxation (GGA-PBE).

* E_form (uncorrected): 1.73 eV per atom
* E: -14.37 eV per cell

Cell: 4.3134 4.3134 5.3802 Å, 90.00 90.00 90.00°
Each line ends with the local moment (μB).
Positions (direct):
S1 0.0000 0.0000 0.5000  0.24
Na1 0.0000 0.0000 0.0000  0.04
N1 0.0000 0.5000 0.0000  1.61
N2 0.5000 0.0000 0.0000  1.61
Cd1 0.5000 0.5000 0.5000  -0.03



Entry 3:
Entry from the Alexandria database: PrTm6In2 after structural relaxation (GGA-PBE).

* ΔE_f: -1.72 eV per formula unit
* E: -38.80 eV per cell

Cell: 3.7094 6.5416 11.8407 Å, 74.86 80.99 73.53°
Positions (direct):
In1 0.6464 0.9281 0.7790
In2 0.3536 0.0719 0.2210
Pr1 0.0000 0.0000 0.0000
Tm1 0.6864 0.5008 0.1265
Tm2 0.3105 0.7987 0.5802
Tm3 0.3136 0.4992 0.8735
Tm4 0.6895 0.2013 0.4198
Tm5 0.9882 0.6755 0.3482
Tm6 0.0118 0.3245 0.6518



Entry 4:
Entry from the Alexandria database: CuSn2Sb3 after structural relaxation (GGA-PBE).

* E_form (uncorrected): 0.02 eV per atom
* E: -48.66 eV per cell

Cell: 7.8531 7.8531 7.8414 Å, 99.84 99.84 119.96°
Positions (direct):
Sb1 0.7558 0.5897 0.3944
Sb2 0.8905 0.3620 0.8944
Sb3 0.5897 0.7558 0.8944
Sb4 0.0451 0.1779 0.3611
Sb5 0.1779 0.0451 0.8611
Sb6 0.3620 0.8905 0.3944
Sn1 0.5811 0.4171 0.0023
Sn2 0.4171 0.5811 0.5023
Sn3 0.2607 0.7705 0.0023
Sn4 0.7705 0.2607 0.5023
Cu1 0.1028 0.9417 0.5168
Cu2 0.9417 0.1028 0.0168